## La2ScInC (GGA-PBEsol)

Data for a geometry-optimized La2ScInC structure.

## Properties
Calculated formation energy (eV/f.u.): 5.8
Symmetry: P4/mmm, No. 123

Lattice parameters (Å, degrees): 6.168 6.168 3.933 90.00 90.00 90.00
Fractional positions:
1 La 0.000 0.500 0.000
2 La 0.500 0.000 0.000
3 Sc 0.000 0.000 0.500
4 In 0.500 0.500 0.000
5 C 0.500 0.500 0.500

***

## La2Cl (GGA-PBEsol)

Data for a geometry-optimized La2Cl structure.

## Properties
ΔE to the lowest computed polymorph (kJ/mol of formula units): 0
Symmetry: I4_1/amd, No. 141

Lattice parameters (Å, degrees): 6.512 6.512 6.512 127.65 127.65 77.20
Fractional positions:
1 La 0.089 0.339 0.750
2 La 0.339 0.089 0.250
3 La 0.661 0.911 0.750
4 La 0.911 0.661 0.250
5 Cl 0.375 0.625 0.750
6 Cl 0.625 0.375 0.250

***

Q: Number 2 is which compound?
A: La2Cl